Entry 1:
# YSc2Cu | Alexandria via LeMat-Bulk | SCAN | single point on PBEsol structure
data_YSc2Cu
_space_group_name_H-M_alt 'P 4 m m'
_space_group_IT_number 99
_cell_length_a 3.289
_cell_length_b 3.289
_cell_length_c 8.113
_cell_angle_alpha 90.00
_cell_angle_beta 90.00
_cell_angle_gamma 90.00
loop_
_space_group_symop_operation_xyz
'x,y,z'
'-y,x,z'
'-x,-y,z'
'y,-x,z'
'-x,y,z'
'y,x,z'
'x,-y,z'
'-y,-x,z'
loop_
_atom_site_label
_atom_site_fract_x
_atom_site_fract_y
_atom_site_fract_z
_atom_site_occupancy
Y1 0.000 0.000 0.000 1
Sc1 0.000 0.000 0.412 1
Sc2 0.500 0.500 0.691 1
Cu1 0.500 0.500 0.236 1
# ΔE to the lowest computed polymorph: 9.6 meV per atom
# volume: 87.8 Å³ per cell
# formation enthalpy at 0 K: -11 kJ per mole of atoms



Entry 2:
# YSc2Cu2 | Alexandria via LeMat-Bulk | SCAN | single point on PBEsol structure
data_YSc2Cu2
_space_group_name_H-M_alt 'P 4/m b m'
_space_group_IT_number 127
_space_group_name_Hall '-P 4 2ab'
_cell_length_a 7.488
_cell_length_b 7.488
_cell_length_c 3.472
_cell_angle_alpha 90.00
_cell_angle_beta 90.00
_cell_angle_gamma 90.00
loop_
_atom_site_label
_atom_site_fract_x
_atom_site_fract_y
_atom_site_fract_z
_atom_site_occupancy
Y1 0.000 0.000 0.000 1
Sc1 0.161 0.339 0.500 1
Cu1 0.122 0.622 0.000 1
# volume: 194.7 Å³ per cell
# formation enthalpy at 0 K: -18 kJ per mole of atoms



Entry 3:
# YSc2Cu | Alexandria via LeMat-Bulk | SCAN | single point on PBEsol structure
data_YSc2Cu
_space_group_name_H-M_alt 'I m m 2'
_space_group_IT_number 44
_cell_length_a 3.438
_cell_length_b 4.887
_cell_length_c 10.363
_cell_angle_alpha 90.00
_cell_angle_beta 90.00
_cell_angle_gamma 90.00
loop_
_space_group_symop_operation_xyz
'x,y,z'
'-x,-y,z'
'-x,y,z'
'x,-y,z'
'x+1/2,y+1/2,z+1/2'
'-x+1/2,-y+1/2,z+1/2'
'-x+1/2,y+1/2,z+1/2'
'x+1/2,-y+1/2,z+1/2'
loop_
_atom_site_label
_atom_site_fract_x
_atom_site_fract_y
_atom_site_fract_z
_atom_site_occupancy
Y1 0.000 0.000 0.000 1
Sc1 0.000 0.000 0.416 1
Sc2 0.000 0.500 0.211 1
Cu1 0.000 0.500 0.723 1
# ΔE to the lowest computed polymorph: 49.8 meV per atom
# volume: 174.1 Å³ per cell
# formation enthalpy at 0 K: -7 kJ per mole of atoms